(1)
A plane-wave DFT calculation with PBE-GGA was carried out for a geometry-optimized CsNiHg3 structure.

a b c (Å): 7.2284 7.2284 7.2284
angles (deg): 90.00 90.00 90.00
With the nearest neighbours (Å) after each atom.
Sites, in units of the cell vectors:
Cs (0.0000, 0.0000, 0.0000)  6 Hg 3.61
Ni (0.5000, 0.5000, 0.5000)  12 Hg 5.11
Hg (0.0000, 0.5000, 0.0000)  2 Cs 3.61
Hg (0.0000, 0.0000, 0.5000)  2 Cs 3.61
Hg (0.5000, 0.0000, 0.0000)  2 Cs 3.61

Output
Formation enthalpy at 0 K in kJ/mol of formula units: 408
Space group: No. 221

---

(2)
A plane-wave DFT calculation with PBE-GGA was carried out for a geometry-optimized BiHSe2N structure.

a b c (Å): 3.7202 3.7202 7.2701
angles (deg): 90.00 90.00 90.00
With the nearest neighbours (Å) after each atom.
Sites, in units of the cell vectors:
H (0.0000, 0.0000, 0.0000)  4 Se 1.86
Bi (0.5000, 0.5000, 0.5000)  4 N 2.63
Se (0.0000, 0.5000, 0.0000)  2 H 1.86
Se (0.5000, 0.0000, 0.0000)  2 H 1.86
N (0.0000, 0.0000, 0.5000)  4 Bi 2.63

Output
E_tot in eV/atom: -3.512
Space group: No. 123

---

(3)
A plane-wave DFT calculation with PBE-GGA was carried out for a geometry-optimized Y2Er3Th3 structure.

a b c (Å): 5.0213 5.0019 10.7185
angles (deg): 103.49 103.55 90.00
With the nearest neighbours (Å) after each atom.
Sites, in units of the cell vectors:
Y (0.7500, 0.2500, 0.5000)  4 Y 3.54, 4 Er 3.57-3.58, 4 Th 3.59-3.60
Y (0.2500, 0.7500, 0.5000)  4 Y 3.54, 4 Er 3.57-3.58, 4 Th 3.59-3.60
Er (0.1239, 0.1239, 0.2477)  2 Er 3.54, 6 Th 3.54-3.55, 4 Y 3.57-3.58
Er (0.0000, 0.5000, 0.0000)  8 Th 3.53-3.54, 4 Er 3.54
Er (0.8761, 0.8761, 0.7523)  2 Er 3.54, 6 Th 3.54-3.55, 4 Y 3.57-3.58
Th (0.6227, 0.6227, 0.2454)  2 Th 3.52, 6 Er 3.53-3.54, 4 Y 3.59-3.60
Th (0.3773, 0.3773, 0.7546)  2 Th 3.52, 6 Er 3.53-3.54, 4 Y 3.59-3.60
Th (0.5000, 0.0000, 0.0000)  4 Th 3.52, 8 Er 3.54-3.55

Output
Formation enthalpy at 0 K in kJ/mol of formula units: 29
Space group: No. 71